Entry 1:
Entry from Alexandria: a geometry-optimized YMgScTc structure (PBE).

a = 4.906 Å, b = 4.906 Å, c = 4.906 Å
α = 60.00°, β = 60.00°, γ = 60.00°
Atoms (fractional coordinates):
Y 0.000 0.000 0.000
Mg 0.250 0.250 0.250
Sc 0.500 0.500 0.500
Tc 0.750 0.750 0.750

## Properties
The calculation puts the magnetic moment at 0.00 μB/f.u. Its calculated volume is 83.5 Å³ per cell.

---

Entry 2:
Entry from Alexandria: a geometry-optimized NaCuOs2 structure (PBE).

a = 10.115 Å, b = 10.115 Å, c = 10.115 Å
α = 158.89°, β = 158.89°, γ = 30.03°
Atoms (fractional coordinates):
Na 0.000 0.000 0.000
Na 0.750 0.250 0.500
Cu 0.250 0.750 0.500
Cu 0.500 0.500 0.000
Os 0.170 0.625 0.045
Os 0.375 0.420 0.545
Os 0.580 0.125 0.955
Os 0.875 0.830 0.455

## Properties
For the excess energy over the best structure of this formula in the dataset, the calculation gives 0.0 kJ per mole of atoms. The calculation puts the magnetic moment at 0.00 μB/f.u. Its calculated volume is 134.2 Å³ per cell.

---

Number 1: energy relative to the elements -0.038 eV per atom. Number 2: energy relative to the elements 1.061 eV per atom.